# 1
Material: BaZrHg2
Method: DFT, meta-GGA SCAN
State: PBEsol geometry

Results
The space group is No. 123. For the formation energy from the elements, the calculation gives -0.17 eV per atom. For the density of states at the Fermi level, the calculation gives 3.5 states/eV per cell. As for the crystal system: tetragonal.

Cell and atoms, written as POSCAR:
```
BaZrHg2
1.0
3.315 0.000 0.000
0.000 5.588 0.000
0.000 0.000 5.591
Ba Hg Zr
1 2 1
Cartesian
1.657 0.000 2.796 Ba
0.000 0.000 0.000 Hg
0.000 2.794 2.796 Hg
1.657 2.794 0.000 Zr
```

=====

# 2
Material: Li3Mo2P3O12
Method: DFT, meta-GGA SCAN
State: PBEsol geometry

Results
The space group is No. 148. Its energy above the most stable polymorph in this dataset is 0 meV/atom. For the formation energy (no corrections), the calculation gives -2.3655 eV per atom. For the density of states at the Fermi level, the calculation gives 0.0 states/eV per cell. As for the crystal system: trigonal.

Cell and atoms, written as POSCAR:
```
Li3Mo2P3O12
1.0
-5.125 3.587 5.729
-1.587 -3.953 7.335
3.767 3.373 7.538
Li Mo P O
6 4 6 24
Cartesian
-2.299 -2.217 9.382 Li
-5.260 1.161 11.256 Li
-3.303 1.815 6.848 Li
0.357 1.191 13.754 Li
2.313 1.845 9.345 Li
-0.647 5.224 11.220 Li
-4.205 -0.087 8.853 Mo
1.162 1.857 6.157 Mo
-4.108 1.150 14.445 Mo
1.259 3.093 11.749 Mo
0.446 4.020 8.581 P
-1.214 -0.434 7.275 P
1.446 -0.285 11.423 P
-4.392 3.291 9.179 P
-3.393 -1.014 12.021 P
-1.732 3.440 13.327 P
-0.197 1.314 15.656 O
1.254 2.808 8.055 O
0.233 3.882 10.110 O
-1.339 4.160 14.684 O
-2.749 1.692 4.946 O
-4.200 0.198 12.546 O
-3.180 -0.876 10.491 O
-1.607 -1.154 5.917 O
-2.906 2.524 13.531 O
-0.767 0.020 3.043 O
-0.500 2.781 5.414 O
-0.876 -1.594 8.243 O
-4.323 1.826 9.680 O
-3.596 3.430 7.859 O
-0.491 2.671 12.807 O
1.215 0.670 4.496 O
-4.161 2.336 16.106 O
-2.455 0.336 7.795 O
0.650 -0.423 12.743 O
1.376 1.180 10.921 O
-2.070 4.600 12.359 O
-2.446 0.226 15.188 O
-2.179 2.986 17.559 O
-0.040 0.482 7.070 O
```

=====

# 3
Material: ZrRe2Te
Method: DFT, meta-GGA SCAN
State: PBEsol geometry

Results
The space group is No. 25. For the formation energy (no corrections), the calculation gives 0.2215 eV per atom. For the density of states at the Fermi level, the calculation gives 2.6 states/eV per cell. As for the crystal system: orthorhombic.

Cell and atoms, written as POSCAR:
```
ZrRe2Te
1.0
3.042 0.000 0.000
0.000 3.963 0.000
0.000 0.000 6.101
Re Te Zr
2 1 1
Cartesian
0.000 0.000 0.253 Re
1.521 1.981 1.193 Re
0.000 0.000 3.008 Te
1.521 1.981 4.698 Zr
```

=====

# 4
Material: MgGeP2
Method: DFT, meta-GGA SCAN
State: PBEsol geometry

Results
The space group is No. 115. Its energy above the most stable polymorph in this dataset is 68 meV/atom. For the formation energy from the elements, the calculation gives -0.32 eV per atom. As for the crystal system: tetragonal.

Cell and atoms, written as POSCAR:
```
MgGeP2
1.0
3.838 0.000 0.000
0.000 3.838 0.000
0.000 0.000 5.930
P Ge Mg
2 1 1
Cartesian
0.000 1.919 1.597 P
1.919 0.000 4.333 P
1.919 1.919 2.965 Ge
0.000 0.000 0.000 Mg
```

=====

# 5
Material: InRu2Se
Method: DFT, meta-GGA SCAN
State: PBEsol geometry

Results
The space group is No. 71. Its energy above the most stable polymorph in this dataset is 252 meV/atom. For the formation energy (no corrections), the calculation gives 0.4367 eV per atom. For the density of states at the Fermi level, the calculation gives 3.7 states/eV per cell. As for the crystal system: orthorhombic.

Cell and atoms, written as POSCAR:
```
InRu2Se
1.0
2.991 0.000 0.000
0.000 5.077 0.000
-1.496 -2.538 4.267
In Ru Se
1 2 1
Cartesian
0.000 2.538 0.000 In
1.496 2.538 2.342 Ru
0.000 0.000 1.925 Ru
1.496 0.000 0.000 Se
```

=====

# 6
Material: KAuOF2
Method: DFT, meta-GGA SCAN
State: PBEsol geometry

Results
The space group is No. 123. Its energy above the most stable polymorph in this dataset is 1254 meV/atom. For the formation energy (no corrections), the calculation gives -0.0563 eV per atom. For the density of states at the Fermi level, the calculation gives 6.0 states/eV per cell. As for the crystal system: tetragonal.

Cell and atoms, written as POSCAR:
```
KAuOF2
1.0
-2.754 -2.526 2.653
2.844 -3.566 -0.443
2.331 1.394 3.746
K Au O F
1 1 1 2
Cartesian
0.000 0.000 0.000 K
1.210 -2.349 2.978 Au
1.165 0.697 1.873 O
1.422 -1.783 -0.221 F
-1.377 -1.263 1.327 F
```

=====

# 7
Material: Y2RuSeO
Method: DFT, meta-GGA SCAN
State: PBEsol geometry

Results
The space group is No. 123. For the formation energy (no corrections), the calculation gives -0.9203 eV per atom. For the density of states at the Fermi level, the calculation gives 3.1 states/eV per cell. As for the crystal system: tetragonal.

Cell and atoms, written as POSCAR:
```
Y2RuSeO
1.0
-0.780 4.320 0.367
-4.453 -0.825 0.249
0.313 -0.327 4.513
Y Ru O Se
2 1 1 1
Cartesian
0.156 -0.164 2.256 Y
-2.226 -0.412 0.124 Y
-2.460 1.584 2.564 Ru
0.000 0.000 0.000 O
-0.390 2.160 0.184 Se
```

=====

# 8
Material: MgCrHg2
Method: DFT, meta-GGA SCAN
State: PBEsol geometry

Results
The space group is No. 123. For the formation energy from the elements, the calculation gives -0.10 eV per atom. For the density of states at the Fermi level, the calculation gives 2.1 states/eV per cell. As for the crystal system: tetragonal.

Cell and atoms, written as POSCAR:
```
MgCrHg2
1.0
3.569 0.000 0.000
0.000 4.556 0.000
0.000 0.000 4.556
Cr Hg Mg
1 2 1
Cartesian
1.784 2.278 2.278 Cr
0.000 2.278 0.000 Hg
0.000 0.000 2.278 Hg
1.784 0.000 0.000 Mg
```